(1)
This record from Alexandria describes a relaxed Y3AlIn crystal. The functional is PBE-GGA.

Summary:
The density is 5.06 g/cm3. As for the formation energy: -0.355 eV/atom. For the energy above the lowest structure with this stoichiometry, the calculation gives 0.0 kJ per mole of atoms. The calculation puts the total energy at -110.59 eV/cell.

Cell: 4.946 21.930 4.946 Å, 90.00 90.00 90.00°
Space group Cmcm (No. 63)
Unique sites:
1 Y 0.000 0.061 0.250
2 Y 0.000 0.250 0.250
3 Y 0.000 0.438 0.250
4 Al 0.000 0.155 0.750
5 In 0.000 0.345 0.750

(2)
This record from Alexandria describes a relaxed CsZn2SnBr6 crystal. The functional is PBE-GGA.

Summary:
The density is 3.69 g/cm3. The energy relative to the elements, uncorrected comes out at -0.889 eV/atom. The calculation puts the total energy at -105.33 eV/cell.

Cell: 14.270 13.860 8.187 Å, 90.00 106.47 90.00°
Space group C2/c (No. 15)
Unique sites:
1 Cs 0.000 0.172 0.250
2 Zn 0.210 0.093 0.793
3 Sn 0.000 0.399 0.750
4 Br 0.108 0.399 0.128
5 Br 0.135 0.257 0.698
6 Br 0.154 0.017 0.030

(3)
This record from Alexandria describes a relaxed PmPr3Er3Te8 crystal. The functional is PBE-GGA.

Summary:
The density is 7.15 g/cm3. The energy relative to the elements, uncorrected comes out at -1.402 eV/atom. The calculation puts the total energy at -236.82 eV/cell.

Cell: 8.7992 8.7992 21.7338 Å, 90.00 90.00 120.00°
Space group R-3m (No. 166, hexagonal axes)
Unique sites:
1 Pm 0.0000 0.0000 0.0000
2 Pr 0.0000 0.5000 0.5000
3 Er 0.0000 0.5000 0.0000
4 Te 0.0000 0.0000 0.2555
5 Te 0.0170 0.5085 0.2514

(4)
This record from Alexandria describes a relaxed CrTc crystal. The functional is PBE-GGA.

Summary:
The density is 9.34 g/cm3. As for the formation energy: 0.211 eV/atom. The calculation puts the total energy at -78.27 eV/cell.

Cell: 3.740 3.740 7.626 Å, 90.00 90.00 90.00°
Space group I4_1/amd (No. 141, origin choice 2)
Unique sites:
1 Cr 0.000 0.250 0.375
2 Tc 0.000 0.250 0.875